Here is crystalline Sr3SnP2Pd9 at its relaxed geometry from the Alexandria database. Energies are from PBE.

extended XYZ file:
```
15
Lattice="6.384 0.000 0.000 -3.192 5.529 0.000 0.000 0.000 9.192" Properties=species:S:1:pos:R:3 pbc="T T T"
Sr 0.000 0.000 0.000
Sr 0.000 3.686 6.052
Sr 3.192 1.843 3.140
Sn 0.000 0.000 4.596
P 0.000 3.686 1.474
P 3.192 1.843 7.718
Pd -1.596 2.765 0.000
Pd 0.000 1.679 2.552
Pd -1.738 4.689 2.552
Pd 1.454 0.840 6.640
Pd 3.192 0.000 0.000
Pd 1.596 2.765 0.000
Pd 1.738 4.689 2.552
Pd 4.930 0.840 6.640
Pd 3.192 3.850 6.640
```

## Properties
Total DFT energy (no corrections): -5.093 eV/atom
ΔE_f: -653 meV/atom
DOS(E_F): 0.389 states/eV/atom
SG: P-3m1 (164)

***

Here is crystalline Sr2SnP3Pd4 at its relaxed geometry from the Alexandria database. Energies are from PBE.

extended XYZ file:
```
10
Lattice="4.320 0.000 0.000 0.000 4.320 0.000 0.000 0.000 10.503" Properties=species:S:1:pos:R:3 pbc="T T T"
Sr 0.000 2.160 2.488
Sr 2.160 0.000 8.015
Sn 0.000 0.000 5.251
P 0.000 2.160 9.211
P 2.160 0.000 1.292
P 2.160 2.160 5.251
Pd 0.000 0.000 0.000
Pd 0.000 2.160 6.812
Pd 2.160 0.000 3.691
Pd 2.160 2.160 0.000
```

## Properties
Total DFT energy (no corrections): -5.168 eV/atom
ΔE_f: -731 meV/atom
DOS(E_F): 0.612 states/eV/atom
SG: P-4m2 (115)

***

Here is crystalline Sr3Sn2P2Pd4 at its relaxed geometry from the Alexandria database. Energies are from PBE.

extended XYZ file:
```
11
Lattice="4.372 0.000 0.000 -2.186 3.786 0.000 0.000 0.000 15.965" Properties=species:S:1:pos:R:3 pbc="T T T"
Sr 0.000 0.000 0.000
Sr 0.000 0.000 4.083
Sr 0.000 0.000 11.883
Sn 0.000 2.524 9.057
Sn 2.186 1.262 6.908
P 0.000 2.524 2.181
P 2.186 1.262 13.784
Pd 0.000 2.524 6.308
Pd 0.000 2.524 13.882
Pd 2.186 1.262 2.083
Pd 2.186 1.262 9.658
```

## Properties
Total DFT energy (no corrections): -4.810 eV/atom
ΔE_f: -752 meV/atom
DOS(E_F): 0.461 states/eV/atom
SG: P-3m1 (164)